Entry 1:
The following is a DFT calculation (GGA-PBE) of a relaxed Pr2MgPb3 crystal.

Output
Total energy in eV per atom: -4.0597
Spin magnetization in μB/f.u.: 0.00
DOS at the Fermi energy in states/eV per cell: 8.5

Lattice parameters (Å, degrees): 6.5683 11.0814 6.5349 114.77 120.17 90.00
Last column: nearest neighbours and their distance in Å.
Fractional positions:
Pb  0.7420  0.4307  0.6996  1 Mg 3.13, 3 Pr 3.26-3.33, 2 Pb 3.29-3.50
Pb  0.3265  0.7500  0.0000  2 Mg 3.28-3.29, 4 Pr 3.34-3.54, 2 Pb 3.50
Pb  0.6735  0.2500  0.0000  2 Mg 3.28-3.29, 4 Pr 3.34-3.54, 2 Pb 3.50
Pb  0.9576  0.9307  0.6996  1 Mg 3.13, 3 Pr 3.26-3.33, 2 Pb 3.29-3.50
Pb  0.2580  0.5693  0.3004  1 Mg 3.13, 3 Pr 3.26-3.33, 2 Pb 3.29-3.50
Pb  0.0424  0.0693  0.3004  1 Mg 3.13, 3 Pr 3.26-3.33, 2 Pb 3.29-3.50
Pr  0.5724  0.0906  0.3494  6 Pb 3.26-3.54, 1 Mg 3.54
Pr  0.4276  0.9094  0.6506  6 Pb 3.26-3.54, 1 Mg 3.54
Pr  0.7771  0.5906  0.3494  6 Pb 3.26-3.54, 1 Mg 3.54
Pr  0.2229  0.4094  0.6506  6 Pb 3.26-3.54, 1 Mg 3.54
Mg  0.8254  0.7500  0.0000  4 Pb 3.13-3.29
Mg  0.1746  0.2500  0.0000  4 Pb 3.13-3.29

Entry 2:
The following is a DFT calculation (GGA-PBE) of a relaxed PrMg2Pb crystal.

Output
Total energy in eV per atom: -3.0472
Spin magnetization in μB/f.u.: 0.00
Distance to the lowest polymorph of the same formula in eV/atom: 0.206
DOS at the Fermi energy in states/eV per cell: 2.1

Lattice parameters (Å, degrees): 3.6499 3.6499 8.3857 90.00 90.00 90.00
Last column: nearest neighbours and their distance in Å.
Fractional positions:
Pb  0.5000  0.5000  0.0000  8 Mg 3.21
Mg  0.0000  0.0000  0.2274  4 Pb 3.21, 4 Pr 3.45
Mg  0.0000  0.0000  0.7726  4 Pb 3.21, 4 Pr 3.45
Pr  0.5000  0.5000  0.5000  8 Mg 3.45, 4 Pr 3.65

Entry 3:
The following is a DFT calculation (GGA-PBE) of a relaxed PrMgPb2 crystal.

Output
Total energy in eV per atom: -3.8457
Spin magnetization in μB/f.u.: 0.00
DOS at the Fermi energy in states/eV per cell: 1.8

Lattice parameters (Å, degrees): 4.6311 4.9317 4.9317 90.00 90.00 90.00
Last column: nearest neighbours and their distance in Å.
Fractional positions:
Pr  0.5000  0.5000  0.5000  8 Pb 3.38, 4 Mg 3.49
Pb  0.0000  0.0000  0.5000  4 Pr 3.38, 4 Mg 3.38, 4 Pb 3.49
Pb  0.0000  0.5000  0.0000  4 Pr 3.38, 4 Mg 3.38, 4 Pb 3.49
Mg  0.5000  0.0000  0.0000  8 Pb 3.38, 4 Pr 3.49

Entry 4:
The following is a DFT calculation (GGA-PBE) of a relaxed PrMgPb2 crystal.

Output
Total energy in eV per atom: -3.6221
Spin magnetization in μB/f.u.: 0.00
DOS at the Fermi energy in states/eV per cell: 3.0

Lattice parameters (Å, degrees): 5.9294 5.6596 5.6878 62.96 58.58 58.41
Last column: nearest neighbours and their distance in Å.
Fractional positions:
Pr  0.7500  0.7500  0.7500  8 Pb 3.52-3.53, 2 Mg 3.82
Pb  0.4998  0.5010  0.4993  4 Mg 3.51-3.54, 4 Pr 3.52-3.53, 2 Pb 3.82-3.83
Pb  0.0002  0.9990  0.0007  4 Mg 3.51-3.54, 4 Pr 3.52-3.53, 2 Pb 3.82-3.83
Mg  0.2500  0.2500  0.2500  8 Pb 3.51-3.54, 2 Pr 3.82

Entry 5:
The following is a DFT calculation (GGA-PBE) of a relaxed PrMgPb2 crystal.

Output
Total energy in eV per atom: -3.6539
Spin magnetization in μB/f.u.: 0.00
DOS at the Fermi energy in states/eV per cell: 2.6

Lattice parameters (Å, degrees): 4.6622 4.6622 7.3114 71.41 71.41 60.00
Last column: nearest neighbours and their distance in Å.
Fractional positions:
Mg  0.4928  0.4928  0.5215  6 Pb 3.03-3.19
Pr  0.6724  0.6724  0.9828  6 Pb 3.21-3.33
Pb  0.2430  0.2430  0.2709  1 Pb 3.09, 3 Mg 3.19, 3 Pr 3.33
Pb  0.0917  0.0917  0.7248  3 Mg 3.03, 1 Pb 3.09, 3 Pr 3.21

Entry 6:
The following is a DFT calculation (GGA-PBE) of a relaxed PrMg2Pb crystal.

Output
Total energy in eV per atom: -2.7659
Spin magnetization in μB/f.u.: 0.00
Distance to the lowest polymorph of the same formula in eV/atom: 0.487
DOS at the Fermi energy in states/eV per cell: 2.9

Lattice parameters (Å, degrees): 3.3995 3.3995 11.8877 81.78 81.78 60.00
Last column: nearest neighbours and their distance in Å.
Fractional positions:
Mg  0.0927  0.0927  0.7220  3 Pb 3.26, 1 Pr 3.26, 6 Mg 3.40
Mg  0.9073  0.9073  0.2780  3 Pb 3.26, 1 Pr 3.26, 6 Mg 3.40
Pr  0.0000  0.0000  0.0000  2 Mg 3.26, 6 Pr 3.40
Pb  0.5000  0.5000  0.5000  6 Mg 3.26, 6 Pb 3.40

In order of appearance, calculated formation energy = -2.080; -0.512; -1.592; -0.697; -0.825; 0.613 eV/f.u..